LiMo2P3O13: relaxed, PBE with a Hubbard U.

Results
polymorph energy (0 for the lowest one) = 0.001 eV per atom
total magnetic moment = 4.00 Bohr magnetons per cell
uncorrected energy = -270.28 eV/cell

The structure in POSCAR format:
```
LiMo2P3O13
1.0
6.4996 0.0141 -0.0131
1.3396 7.5020 -0.0052
0.6769 2.6051 11.1205
Li Mo P O
2 4 6 26
Direct
0.1944 0.5640 0.8179
0.8056 0.4360 0.1821
0.2127 0.1961 0.0949
0.2375 0.1990 0.5983
0.7625 0.8010 0.4017
0.7873 0.8039 0.9051
0.8784 0.5330 0.6854
0.7378 0.2086 0.6672
0.7328 0.0671 0.1138
0.2672 0.9329 0.8862
0.1216 0.4670 0.3146
0.2622 0.7914 0.3328
0.8689 0.6333 0.7875
0.9193 0.2177 0.5752
0.8908 0.5420 0.3347
0.7745 0.8951 0.2160
0.1311 0.3667 0.2125
0.0807 0.7823 0.4248
0.1092 0.4580 0.6653
0.2255 0.1049 0.7840
0.1077 0.8016 0.8854
0.2406 0.3531 0.4254
0.2462 0.6351 0.2595
0.2074 0.3664 0.9645
0.2553 0.9884 0.0076
0.2411 0.9744 0.2437
0.3049 0.9847 0.5744
0.5195 0.1894 0.1280
0.5259 0.2673 0.6067
0.4741 0.7327 0.3933
0.4805 0.8106 0.8720
0.6951 0.0153 0.4256
0.7589 0.0256 0.7563
0.7447 0.0116 0.9924
0.7926 0.6336 0.0355
0.7538 0.3649 0.7405
0.7594 0.6469 0.5746
0.8923 0.1984 0.1146
```